a.
DFT (GGA-PBE) results for an optimized crystal structure of AlBiPt2.

abc: 9.028 9.028 9.028
angles: 151.55 151.55 40.68
Atoms (fractional coordinates):
Al 0.000 0.000 0.000
Al 0.750 0.250 0.500
Bi 0.250 0.750 0.500
Bi 0.500 0.500 0.000
Pt 0.082 0.625 0.957
Pt 0.375 0.332 0.457
Pt 0.668 0.125 0.043
Pt 0.875 0.918 0.543

Values from the calculation:
DOS at the Fermi energy	3.0	states/eV per cell
magnetization	0.000	μB per atom

=====

b.
DFT (GGA-PBE) results for an optimized crystal structure of AlBiPt2.

abc: 4.726 4.726 4.726
angles: 60.00 60.00 60.00
Atoms (fractional coordinates):
Al 0.000 0.000 0.000
Bi 0.500 0.500 0.500
Pt 0.250 0.250 0.250
Pt 0.750 0.750 0.750

Values from the calculation:
DOS at the Fermi energy	2.5	states/eV per cell
magnetization	0.000	μB per atom

=====

c.
DFT (GGA-PBE) results for an optimized crystal structure of AlBiPt2.

abc: 3.151 3.151 7.381
angles: 90.00 90.00 90.00
Atoms (fractional coordinates):
Al 0.000 0.000 0.000
Bi 0.000 0.000 0.500
Pt 0.500 0.500 0.192
Pt 0.500 0.500 0.808

Values from the calculation:
DOS at the Fermi energy	0.9	states/eV per cell
magnetization	0.000	μB per atom

=====

Which of them is the most stable, and which is the least stable? c and a, in that order.

=====

a.
DFT (GGA-PBE) results for an optimized crystal structure of AlBiPt3.

abc: 4.665 4.665 4.665
angles: 90.00 90.00 90.00
Atoms (fractional coordinates):
Al 0.000 0.000 0.000
Bi 0.500 0.500 0.500
Pt 0.000 0.000 0.500
Pt 0.000 0.500 0.000
Pt 0.500 0.000 0.000

Values from the calculation:
DOS at the Fermi energy	1.6	states/eV per cell
magnetization	0.000	μB per atom

=====

b.
DFT (GGA-PBE) results for an optimized crystal structure of AlBiPt3.

abc: 5.095 5.095 5.095
angles: 90.00 90.00 90.00
Atoms (fractional coordinates):
Al 0.000 0.000 0.000
Bi 0.500 0.500 0.500
Pt 0.000 0.500 0.500
Pt 0.500 0.000 0.500
Pt 0.500 0.500 0.000

Values from the calculation:
DOS at the Fermi energy	5.7	states/eV per cell
magnetization	0.000	μB per atom

=====

Which of them is the most stable, and which is the least stable? a and b, in that order.

=====

a.
DFT (GGA-PBE) results for an optimized crystal structure of Al2BiPt2.

abc: 7.861 7.861 2.909
angles: 90.00 90.00 90.00
Atoms (fractional coordinates):
Al 0.136 0.364 0.000
Al 0.364 0.864 0.000
Al 0.636 0.136 0.000
Al 0.864 0.636 0.000
Bi 0.000 0.000 0.000
Bi 0.500 0.500 0.000
Pt 0.149 0.649 0.500
Pt 0.351 0.149 0.500
Pt 0.649 0.851 0.500
Pt 0.851 0.351 0.500

Values from the calculation:
DOS at the Fermi energy	3.0	states/eV per cell
magnetization	0.000	μB per atom

=====

b.
DFT (GGA-PBE) results for an optimized crystal structure of Al2BiPt2.

abc: 7.835 7.835 2.903
angles: 90.00 90.00 90.00
Atoms (fractional coordinates):
Al 0.143 0.357 0.000
Al 0.357 0.857 0.000
Al 0.643 0.143 0.000
Al 0.857 0.643 0.000
Bi 0.000 0.000 0.500
Bi 0.500 0.500 0.500
Pt 0.145 0.645 0.500
Pt 0.355 0.145 0.500
Pt 0.645 0.855 0.500
Pt 0.855 0.355 0.500

Values from the calculation:
DOS at the Fermi energy	4.1	states/eV per cell
magnetization	0.000	μB per atom

=====

c.
DFT (GGA-PBE) results for an optimized crystal structure of Al2BiPt2.

abc: 6.249 6.249 6.249
angles: 141.10 141.10 56.19
Atoms (fractional coordinates):
Al 0.121 0.121 0.000
Al 0.879 0.879 0.000
Bi 0.500 0.500 0.000
Pt 0.250 0.750 0.500
Pt 0.750 0.250 0.500

Values from the calculation:
DOS at the Fermi energy	1.6	states/eV per cell
magnetization	0.000	μB per atom

=====

Which of them is the most stable, and which is the least stable? b and c, in that order.

=====

a.
DFT (GGA-PBE) results for an optimized crystal structure of RbAl3Bi.

abc: 5.783 5.783 5.783
angles: 90.00 90.00 90.00
Atoms (fractional coordinates):
Rb 0.000 0.000 0.000
Al 0.000 0.000 0.500
Al 0.000 0.500 0.000
Al 0.500 0.000 0.000
Bi 0.500 0.500 0.500

Values from the calculation:
DOS at the Fermi energy	4.1	states/eV per cell
magnetization	0.000	μB per atom

=====

b.
DFT (GGA-PBE) results for an optimized crystal structure of RbAl3Bi.

abc: 5.810 5.810 5.810
angles: 90.00 90.00 90.00
Atoms (fractional coordinates):
Rb 0.000 0.000 0.000
Al 0.000 0.500 0.500
Al 0.500 0.000 0.500
Al 0.500 0.500 0.000
Bi 0.500 0.500 0.500

Values from the calculation:
DOS at the Fermi energy	3.2	states/eV per cell
magnetization	0.000	μB per atom

=====

Which of them is the most stable, and which is the least stable? b and a, in that order.

=====

a.
DFT (GGA-PBE) results for an optimized crystal structure of Rb2AlBi.

abc: 6.128 6.128 6.128
angles: 60.00 60.00 60.00
Atoms (fractional coordinates):
Rb 0.250 0.250 0.250
Rb 0.750 0.750 0.750
Al 0.000 0.000 0.000
Bi 0.500 0.500 0.500

Values from the calculation:
DOS at the Fermi energy	0.0	states/eV per cell
magnetization	0.000	μB per atom

=====

b.
DFT (GGA-PBE) results for an optimized crystal structure of Rb2AlBi.

abc: 13.186 13.186 13.186
angles: 157.94 157.94 31.40
Atoms (fractional coordinates):
Rb 0.120 0.625 0.995
Rb 0.375 0.370 0.495
Rb 0.630 0.125 0.005
Rb 0.875 0.880 0.505
Al 0.000 0.000 0.000
Al 0.750 0.250 0.500
Bi 0.250 0.750 0.500
Bi 0.500 0.500 0.000

Values from the calculation:
DOS at the Fermi energy	6.0	states/eV per cell
magnetization	0.181	μB per atom

=====

Which of them is the most stable, and which is the least stable? a and b, in that order.

=====

a.
DFT (GGA-PBE) results for an optimized crystal structure of Rb2AlBi2.

abc: 7.947 7.947 6.154
angles: 90.00 90.00 90.00
Atoms (fractional coordinates):
Rb 0.167 0.333 0.000
Rb 0.333 0.833 0.000
Rb 0.667 0.167 0.000
Rb 0.833 0.667 0.000
Al 0.000 0.000 0.500
Al 0.500 0.500 0.500
Bi 0.145 0.645 0.500
Bi 0.355 0.145 0.500
Bi 0.645 0.855 0.500
Bi 0.855 0.355 0.500

Values from the calculation:
DOS at the Fermi energy	3.3	states/eV per cell
magnetization	0.000	μB per atom

=====

b.
DFT (GGA-PBE) results for an optimized crystal structure of Rb2AlBi2.

abc: 22.071 22.071 22.071
angles: 167.92 167.92 17.11
Atoms (fractional coordinates):
Rb 0.050 0.300 0.750
Rb 0.300 0.050 0.250
Rb 0.700 0.950 0.750
Rb 0.950 0.700 0.250
Al 0.125 0.875 0.250
Al 0.875 0.125 0.750
Bi 0.162 0.412 0.750
Bi 0.412 0.162 0.250
Bi 0.588 0.838 0.750
Bi 0.838 0.588 0.250

Values from the calculation:
DOS at the Fermi energy	4.6	states/eV per cell
magnetization	0.000	μB per atom

=====

Which of them is the most stable, and which is the least stable? a and b, in that order.